# PBE Ba4Al, optimized geometry
data_Ba4Al
_chemical_formula_sum 'Ba4 Al1'
_space_group_name_H-M_alt 'P 1'
_space_group_IT_number 1
_cell_length_a 7.0828
_cell_length_b 7.0828
_cell_length_c 7.0828
_cell_angle_alpha 109.47
_cell_angle_beta 109.47
_cell_angle_gamma 109.47
loop_
_space_group_symop_operation_xyz
'x,y,z'
loop_
_atom_site_label
_atom_site_fract_x
_atom_site_fract_y
_atom_site_fract_z
Ba1 0.0000 0.5000 0.0000
Ba2 0.0000 0.0000 0.5000
Ba3 0.5000 0.5000 0.5000
Ba4 0.5000 0.0000 0.0000
Al1 0.0000 0.0000 0.0000
# Space-group type = Im-3m, No. 229
# Excess energy over the best structure of this formula in the dataset = 20 meV/atom
# E_tot = -0.079 Ha/atom
# Formation energy from the elements = 124 meV/atom



# PBE Zr2CoH8, optimized geometry
data_Zr2CoH8
_chemical_formula_sum 'Zr2 Co1 H8'
_space_group_name_H-M_alt 'P 1'
_space_group_IT_number 1
_cell_length_a 3.2542
_cell_length_b 4.0740
_cell_length_c 6.3957
_cell_angle_alpha 108.53
_cell_angle_beta 104.74
_cell_angle_gamma 90.00
loop_
_space_group_symop_operation_xyz
'x,y,z'
loop_
_atom_site_label
_atom_site_fract_x
_atom_site_fract_y
_atom_site_fract_z
Zr1 0.8528 0.3530 0.7056
Zr2 0.1472 0.6470 0.2944
Co1 0.5000 0.0000 0.0000
H1 0.3843 0.6623 0.7686
H2 0.6160 0.8947 0.2319
H3 0.7657 0.7655 0.5314
H4 0.0000 0.2202 0.0000
H5 0.2343 0.2345 0.4686
H6 0.3840 0.1053 0.7681
H7 0.6157 0.3377 0.2314
H8 0.0000 0.7798 0.0000
# Space-group type = Immm, No. 71
# E_tot = -0.179 Ha/atom



# PBE HfAsOsSe2, optimized geometry
data_HfAsOsSe2
_chemical_formula_sum 'Hf1 As1 Os1 Se2'
_space_group_name_H-M_alt 'P 1'
_space_group_IT_number 1
_cell_length_a 4.9877
_cell_length_b 4.9877
_cell_length_c 4.5723
_cell_angle_alpha 90.00
_cell_angle_beta 90.00
_cell_angle_gamma 90.00
loop_
_space_group_symop_operation_xyz
'x,y,z'
loop_
_atom_site_label
_atom_site_fract_x
_atom_site_fract_y
_atom_site_fract_z
Hf1 0.5000 0.5000 0.5000
As1 0.0000 0.0000 0.5000
Os1 0.0000 0.0000 0.0000
Se1 0.0000 0.5000 0.0000
Se2 0.5000 0.0000 0.0000
# Space-group type = P4/mmm, No. 123
# Excess energy over the best structure of this formula in the dataset = 0 meV/atom
# E_tot = -0.217 Ha/atom
# Formation energy from raw total energies = 0.64 eV/atom



# PBE MnSn2Rh, optimized geometry
data_MnSn2Rh
_chemical_formula_sum 'Mn1 Sn2 Rh1'
_space_group_name_H-M_alt 'P 1'
_space_group_IT_number 1
_cell_length_a 3.2171
_cell_length_b 3.2171
_cell_length_c 9.5727
_cell_angle_alpha 80.33
_cell_angle_beta 80.33
_cell_angle_gamma 60.00
loop_
_space_group_symop_operation_xyz
'x,y,z'
loop_
_atom_site_label
_atom_site_fract_x
_atom_site_fract_y
_atom_site_fract_z
Mn1 0.0000 0.0000 0.0000
Rh1 0.5000 0.5000 0.5000
Sn1 0.0954 0.0954 0.7138
Sn2 0.9046 0.9046 0.2862
# Space-group type = R-3m, No. 166
# E_tot = -0.219 Ha/atom
# Formation energy from the elements = 161 meV/atom



# PBE Er8GaGe3Se4, optimized geometry
data_Er8GaGe3Se4
_chemical_formula_sum 'Er8 Ga1 Ge3 Se4'
_space_group_name_H-M_alt 'P 1'
_space_group_IT_number 1
_cell_length_a 8.1180
_cell_length_b 8.2713
_cell_length_c 8.1178
_cell_angle_alpha 119.39
_cell_angle_beta 120.00
_cell_angle_gamma 90.00
loop_
_space_group_symop_operation_xyz
'x,y,z'
loop_
_atom_site_label
_atom_site_fract_x
_atom_site_fract_y
_atom_site_fract_z
Er1 0.2488 0.7422 0.9934
Er2 0.2488 0.7422 0.4976
Er3 0.2552 0.2656 0.5104
Er4 0.7446 0.7422 0.9934
Er5 0.2554 0.2578 0.0066
Er6 0.7448 0.7344 0.4896
Er7 0.7512 0.2578 0.5024
Er8 0.7512 0.2578 0.0066
Ga1 0.0000 0.5000 0.0000
Ge1 0.5000 0.5000 0.0000
Ge2 0.5000 0.5000 0.5000
Ge3 0.0000 0.5000 0.5000
Se1 0.5000 0.0000 0.0000
Se2 0.5000 0.0000 0.5000
Se3 0.0000 0.0000 0.0000
Se4 0.0000 0.0000 0.5000
# Space-group type = R-3m, No. 166
# E_tot = -0.202 Ha/atom
# Formation energy from raw total energies = -1.29 eV/atom



# PBE POsRuN, optimized geometry
data_POsRuN
_chemical_formula_sum 'P2 Os2 Ru2 N2'
_space_group_name_H-M_alt 'P 1'
_space_group_IT_number 1
_cell_length_a 6.1606
_cell_length_b 2.8543
_cell_length_c 7.0870
_cell_angle_alpha 90.00
_cell_angle_beta 123.02
_cell_angle_gamma 90.00
loop_
_space_group_symop_operation_xyz
'x,y,z'
loop_
_atom_site_label
_atom_site_fract_x
_atom_site_fract_y
_atom_site_fract_z
P1 0.5408 0.0000 0.5074
P2 0.5408 0.5000 0.0074
Os1 0.3368 0.0000 0.6973
Os2 0.3368 0.5000 0.1973
Ru1 0.8962 0.0000 0.0911
Ru2 0.8962 0.5000 0.5911
N1 0.9764 0.0000 0.4267
N2 0.9764 0.5000 0.9267
# Space-group type = Cm, No. 8
# Excess energy over the best structure of this formula in the dataset = 77 meV/atom
# E_tot = -0.310 Ha/atom
# Formation energy from raw total energies = 0.13 eV/atom



# PBE ScTcPb2, optimized geometry
data_ScTcPb2
_chemical_formula_sum 'Sc1 Tc1 Pb2'
_space_group_name_H-M_alt 'P 1'
_space_group_IT_number 1
_cell_length_a 5.0370
_cell_length_b 5.0370
_cell_length_c 5.0370
_cell_angle_alpha 60.00
_cell_angle_beta 60.00
_cell_angle_gamma 60.00
loop_
_space_group_symop_operation_xyz
'x,y,z'
loop_
_atom_site_label
_atom_site_fract_x
_atom_site_fract_y
_atom_site_fract_z
Pb1 0.0000 0.0000 0.0000
Pb2 0.7500 0.7500 0.7500
Sc1 0.5000 0.5000 0.5000
Tc1 0.2500 0.2500 0.2500
# Space-group type = F-43m, No. 216
# Excess energy over the best structure of this formula in the dataset = 324 meV/atom
# E_tot = -0.207 Ha/atom
# Formation energy from the elements = 399 meV/atom



# PBE Cr2CoSe4, optimized geometry
data_Cr2CoSe4
_chemical_formula_sum 'Cr4 Co2 Se8'
_space_group_name_H-M_alt 'P 1'
_space_group_IT_number 1
_cell_length_a 7.3530
_cell_length_b 7.3530
_cell_length_c 7.3563
_cell_angle_alpha 59.99
_cell_angle_beta 59.99
_cell_angle_gamma 90.00
loop_
_space_group_symop_operation_xyz
'x,y,z'
loop_
_atom_site_label
_atom_site_fract_x
_atom_site_fract_y
_atom_site_fract_z
Cr1 0.5000 0.5000 0.5000
Cr2 0.5000 0.0000 0.5000
Cr3 0.0000 0.0000 0.0000
Cr4 0.5000 0.0000 0.0000
Co1 0.8749 0.6251 0.7500
Co2 0.1251 0.3749 0.2500
Se1 0.2562 0.7684 0.9876
Se2 0.7438 0.2316 0.0124
Se3 0.2684 0.7562 0.4876
Se4 0.2561 0.2438 0.5124
Se5 0.2562 0.2439 0.9876
Se6 0.7439 0.7562 0.4876
Se7 0.7316 0.2438 0.5124
Se8 0.7438 0.7561 0.0124
# Space-group type = Fd-3m, No. 227
# Excess energy over the best structure of this formula in the dataset = 43 meV/atom
# E_tot = -0.225 Ha/atom
# Formation energy from raw total energies = -0.37 eV/atom



# PBE Tm4Th2Sc, optimized geometry
data_Tm4Th2Sc
_chemical_formula_sum 'Tm4 Th2 Sc1'
_space_group_name_H-M_alt 'P 1'
_space_group_IT_number 1
_cell_length_a 6.7929
_cell_length_b 6.8307
_cell_length_c 6.7658
_cell_angle_alpha 90.22
_cell_angle_beta 59.87
_cell_angle_gamma 60.18
loop_
_space_group_symop_operation_xyz
'x,y,z'
loop_
_atom_site_label
_atom_site_fract_x
_atom_site_fract_y
_atom_site_fract_z
Tm1 0.2194 0.9830 0.5781
Tm2 0.2501 0.5353 0.9644
Tm3 0.7499 0.4647 0.0356
Tm4 0.7806 0.0170 0.4219
Th1 0.2194 0.5000 0.5000
Th2 0.7806 0.5000 0.5000
Sc1 0.5000 0.0000 0.0000
# Space-group type = C2/m, No. 12
# Excess energy over the best structure of this formula in the dataset = 0 meV/atom
# E_tot = -0.194 Ha/atom
# Formation energy from the elements = 308 meV/atom



# PBE TeMo2As, optimized geometry
data_TeMo2As
_chemical_formula_sum 'Te1 Mo2 As1'
_space_group_name_H-M_alt 'P 1'
_space_group_IT_number 1
_cell_length_a 5.1155
_cell_length_b 5.1155
_cell_length_c 5.1155
_cell_angle_alpha 139.49
_cell_angle_beta 119.35
_cell_angle_gamma 75.50
loop_
_space_group_symop_operation_xyz
'x,y,z'
loop_
_atom_site_label
_atom_site_fract_x
_atom_site_fract_y
_atom_site_fract_z
Mo1 0.9581 0.9581 0.0000
Mo2 0.5419 0.5419 0.0000
Te1 0.2500 0.7500 0.5000
As1 0.7500 0.2500 0.5000
# Space-group type = Immm, No. 71
# Excess energy over the best structure of this formula in the dataset = 453 meV/atom
# E_tot = -0.252 Ha/atom
# Formation energy from raw total energies = 0.51 eV/atom